Entry 1:
The following is a DFT calculation (PBE-GGA) of a geometry-optimized Pr7SmTm12 structure.

It has space group R-3 (No. 148, hexagonal axes), with a = 11.9679 Å, b = 11.9679 Å, c = 16.2253 Å, α = 90.00°, β = 90.00° and γ = 120.00°. The inequivalent atoms are Pr at (0.0000, 0.0000, 0.0000), Pr at (0.0520, 0.8649, 0.2893), Sm at (0.0000, 0.0000, 0.5000), Tm at (0.0218, 0.5755, 0.2202) and Tm at (0.0514, 0.4647, 0.5836).

The total energy is -87.27 eV per formula unit. For the formation energy, the calculation gives 228 meV/atom. Its spin magnetization is 0.00 μB/f.u. The distance to the lowest polymorph of the same formula comes out at 0 meV per atom.

=====

Entry 2:
The following is a DFT calculation (PBE-GGA) of a geometry-optimized Ac4AlGa3 structure.

It has space group Pmm2 (No. 25), with a = 4.3806 Å, b = 4.7663 Å, c = 11.9724 Å, α = 90.00°, β = 90.00° and γ = 90.00°. The inequivalent atoms are Ac at (0.0000, 0.0000, 0.0000), Ac at (0.0000, 0.5000, 0.4959), Ac at (0.5000, 0.0000, 0.7121), Ac at (0.5000, 0.5000, 0.2152), Al at (0.0000, 0.5000, 0.7949), Ga at (0.0000, 0.0000, 0.2900), Ga at (0.5000, 0.0000, 0.4208) and Ga at (0.5000, 0.5000, 0.9227).

The total energy is -32.98 eV per formula unit. For the formation energy, the calculation gives -465 meV/atom. Its spin magnetization is 0.00 μB/f.u.

=====

- Look up the spin magnetization of the first one.
  0.00 μB/f.u.